# TmCo2GeB

Crystalline TmCo2GeB at its relaxed geometry (GGA-PBE, the Open Quantum Materials Database).

Unit cell a=3.7284 b=3.7284 c=9.5097 alpha=90.00 beta=90.00 gamma=90.00
With the nearest neighbours (Å) after each atom.
Space group I4mm (No. 107)
One atom of each set of equivalent atoms:
Tm: 0.0000 0.0000 0.0000  4 Co 2.82, 4 B 2.90, 4 Ge 2.91
Co: 0.0000 0.5000 0.2229  2 B 2.07
Ge: 0.0000 0.0000 0.3703  4 Co 2.33, 1 B 2.45
B: 0.0000 0.0000 0.6276  4 Co 2.07

* electronic total energy: -65.52 eV/cell
* total moment: 0.003 μB per formula unit


# YCo2GeB

Crystalline YCo2GeB at its relaxed geometry (GGA-PBE, the Open Quantum Materials Database).

Unit cell a=3.7534 b=3.7534 c=9.6753 alpha=90.00 beta=90.00 gamma=90.00
With the nearest neighbours (Å) after each atom.
Space group I4mm (No. 107)
One atom of each set of equivalent atoms:
Y: 0.0000 0.0000 0.0000  4 Co 2.87, 4 Ge 2.95, 4 B 2.95
Co: 0.0000 0.5000 0.2756  2 B 2.07
Ge: 0.0000 0.0000 0.6325  4 Co 2.33, 1 B 2.57
B: 0.0000 0.0000 0.3663  4 Co 2.07

* electronic total energy: -69.31 eV/cell
* total moment: 0.003 μB per formula unit


# Hf2CoB2

Crystalline Hf2CoB2 at its relaxed geometry (GGA-PBE, the Open Quantum Materials Database).

Unit cell a=3.1527 b=11.4092 c=3.4129 alpha=90.00 beta=90.00 gamma=90.00
With the nearest neighbours (Å) after each atom.
Space group Cmmm (No. 65)
One atom of each set of equivalent atoms:
Hf: 0.0000 0.1326 0.0000  6 B 2.48-2.49, 4 Co 2.77
Co: 0.0000 0.5000 0.5000  2 B 2.38
B: 0.0000 0.2914 0.5000  2 B 1.84

* electronic total energy: -87.78 eV/cell
* total moment: 0.203 μB per formula unit